(1)
{"formula": "BaTiIn2Rh", "functional": "PBE", "state": "relaxed", "ef_ev_per_atom": 0.436, "m_tot_mub_per_atom": 0.04, "total_energy_ev_per_atom": -4.09, "space_group": "No. 123", "lattice": [[-4.7459, 2.0235, -0.6529], [-2.3047, -4.8745, 1.6454], [0.0260, 1.6522, 4.9310]], "species": ["Ti", "Rh", "Ba", "In", "In"], "frac_coords": [[0.5000, 0.5000, 0.5000], [0.0000, 0.0000, 0.0000], [0.0000, 0.5000, 0.0000], [0.0000, 0.0000, 0.5000], [0.5000, 0.0000, 0.0000]]}


(2)
{"formula": "BaTl2InRh", "functional": "PBE", "state": "relaxed", "ef_ev_per_atom": -0.261, "m_tot_mub_per_atom": 0.00, "total_energy_ev_per_atom": -3.61, "space_group": "No. 123", "lattice": [[-2.3947, -0.1958, 4.7557], [0.1016, -5.3245, -0.1680], [4.6699, 0.0149, 2.3521]], "species": ["Tl", "Tl", "Rh", "Ba", "In"], "frac_coords": [[0.0000, 0.5000, 0.0000], [0.5000, 0.0000, 0.0000], [0.0000, 0.0000, 0.0000], [0.5000, 0.5000, 0.5000], [0.0000, 0.0000, 0.5000]]}


(3)
{"formula": "BaZnIn2Rh", "functional": "PBE", "state": "relaxed", "ef_ev_per_atom": -0.378, "m_tot_mub_per_atom": 0.00, "total_energy_ev_per_atom": -3.58, "space_group": "No. 123", "lattice": [[-2.5313, -4.5176, 0.0871], [2.8811, -1.6906, -3.9579], [3.3716, -1.8268, 3.2346]], "species": ["Zn", "Rh", "Ba", "In", "In"], "frac_coords": [[0.0000, 0.0000, 0.5000], [0.0000, 0.0000, 0.0000], [0.5000, 0.5000, 0.5000], [0.0000, 0.5000, 0.0000], [0.5000, 0.0000, 0.0000]]}


(4)
{"formula": "BaZrIn2Rh", "functional": "PBE", "state": "relaxed", "ef_ev_per_atom": 0.063, "m_tot_mub_per_atom": 0.00, "total_energy_ev_per_atom": -4.60, "space_group": "No. 123", "lattice": [[5.7013, 0.0000, 0.0000], [0.0000, 4.8822, 0.0000], [0.0000, 0.0000, 5.7013]], "species": ["Rh", "Ba", "Zr", "In", "In"], "frac_coords": [[0.0000, 0.5000, 0.0000], [0.5000, 0.5000, 0.5000], [0.0000, 0.0000, 0.0000], [0.0000, 0.0000, 0.5000], [0.5000, 0.0000, 0.0000]]}


(5)
{"formula": "Ba2InRu", "functional": "PBE", "state": "relaxed", "ef_ev_per_atom": 0.375, "m_tot_mub_per_atom": 0.00, "total_energy_ev_per_atom": -3.59, "space_group": "No. 216", "lattice": [[-3.7381, 0.9993, -3.8481], [-5.3101, -0.1581, 1.2479], [-2.9057, 4.6166, 0.1522]], "species": ["Ba", "Ba", "In", "Ru"], "frac_coords": [[0.0000, 0.0000, 0.0000], [0.2500, 0.2500, 0.2500], [0.5000, 0.5000, 0.5000], [0.7500, 0.7500, 0.7500]]}


(6)
{"formula": "Ba2InRu", "functional": "PBE", "state": "relaxed", "ef_ev_per_atom": 0.371, "m_tot_mub_per_atom": 0.20, "total_energy_ev_per_atom": -3.59, "space_group": "No. 123", "lattice": [[-0.9125, 2.3436, -8.4940], [-2.6863, -3.9027, 2.7332], [-3.7607, 1.6522, -1.3358]], "species": ["Ba", "Ba", "In", "Ru"], "frac_coords": [[0.0000, 0.0000, 0.0000], [0.5000, 0.0000, 0.5000], [0.0000, 0.5000, 0.5000], [0.5000, 0.5000, 0.0000]]}


(7)
{"formula": "BaIn2Ru2", "functional": "PBE", "state": "relaxed", "ef_ev_per_atom": 0.153, "m_tot_mub_per_atom": 0.00, "total_energy_ev_per_atom": -5.04, "space_group": "No. 127", "lattice": [[8.0923, 0.0000, 0.0000], [0.0000, 8.0923, 0.0000], [0.0000, 0.0000, 3.2243]], "species": ["Ru", "Ru", "Ru", "Ru", "Ba", "Ba", "In", "In", "In", "In"], "frac_coords": [[0.3514, 0.8514, 0.0000], [0.8514, 0.6486, 0.0000], [0.6486, 0.1486, 0.0000], [0.1486, 0.3514, 0.0000], [0.0000, 0.0000, 0.0000], [0.5000, 0.5000, 0.0000], [0.1407, 0.6407, 0.5000], [0.6407, 0.8593, 0.5000], [0.8593, 0.3593, 0.5000], [0.3593, 0.1407, 0.5000]]}


(8)
{"formula": "Ba2InRu", "functional": "PBE", "state": "relaxed", "ef_ev_per_atom": 0.144, "m_tot_mub_per_atom": 0.20, "total_energy_ev_per_atom": -3.82, "space_group": "No. 99", "lattice": [[-1.7924, -3.3598, -0.0559], [3.3603, -1.7922, -0.0241], [-0.0126, -0.1517, 9.5310]], "species": ["Ba", "Ba", "In", "Ru"], "frac_coords": [[0.0000, 0.0000, 0.9166], [0.5000, 0.5000, 0.3401], [0.0000, 0.0000, 0.5768], [0.5000, 0.5000, 0.6665]]}


Please write out number 7 again, unchanged.
{"formula": "BaIn2Ru2", "functional": "PBE", "state": "relaxed", "ef_ev_per_atom": 0.153, "m_tot_mub_per_atom": 0.00, "total_energy_ev_per_atom": -5.04, "space_group": "No. 127", "lattice": [[8.0923, 0.0000, 0.0000], [0.0000, 8.0923, 0.0000], [0.0000, 0.0000, 3.2243]], "species": ["Ru", "Ru", "Ru", "Ru", "Ba", "Ba", "In", "In", "In", "In"], "frac_coords": [[0.3514, 0.8514, 0.0000], [0.8514, 0.6486, 0.0000], [0.6486, 0.1486, 0.0000], [0.1486, 0.3514, 0.0000], [0.0000, 0.0000, 0.0000], [0.5000, 0.5000, 0.0000], [0.1407, 0.6407, 0.5000], [0.6407, 0.8593, 0.5000], [0.8593, 0.3593, 0.5000], [0.3593, 0.1407, 0.5000]]}